# MnVPb2O5 | Alexandria | PBE with a Hubbard U | relaxed
data_MnVPb2O5
_chemical_formula_sum 'Mn2 V2 Pb4 O10'
_space_group_name_H-M_alt 'P 1'
_space_group_IT_number 1
_cell_length_a 3.3497
_cell_length_b 6.5030
_cell_length_c 12.4266
_cell_angle_alpha 90.00
_cell_angle_beta 90.00
_cell_angle_gamma 104.92
loop_
_space_group_symop_operation_xyz
'x,y,z'
loop_
_atom_site_label
_atom_site_type_symbol
_atom_site_fract_x
_atom_site_fract_y
_atom_site_fract_z
Mn1 Mn 0.5234 0.0468 0.9492
Mn2 Mn 0.4766 0.9532 0.4492
V1 V 0.7840 0.5680 0.5227
V2 V 0.2160 0.4320 0.0227
Pb1 Pb 0.8325 0.6651 0.7835
Pb2 Pb 0.0868 0.1736 0.6620
Pb3 Pb 0.1675 0.3349 0.2835
Pb4 Pb 0.9132 0.8264 0.1620
O1 O 0.3773 0.7547 0.0185
O2 O 0.6809 0.3617 0.9207
O3 O 0.4694 0.9389 0.8009
O4 O 0.2760 0.5520 0.6286
O5 O 0.9424 0.8849 0.5379
O6 O 0.6227 0.2453 0.5185
O7 O 0.3191 0.6383 0.4207
O8 O 0.5306 0.0611 0.3009
O9 O 0.7240 0.4480 0.1286
O10 O 0.0576 0.1151 0.0379
# - DOS at the Fermi energy: 0.6 states/eV/cell
# - Final energy: -6.6235 eV per atom
# - Mass density: 7.62 g cm⁻³